Entry 1:
## VFePt3 (PBE-GGA)

Data for crystalline VFePt3 at its relaxed geometry.

Cell: 4.6929 4.6911 7.3329 Å, 84.05 71.38 71.35°
Sites, in units of the cell vectors:
V  0.8531  0.8444  0.0118
V  0.5580  0.3442  0.6028
Fe  0.3545  0.3447  0.0089
Fe  0.0566  0.8443  0.6056
Pt  0.1495  0.3443  0.4193
Pt  0.9558  0.3444  0.8068
Pt  0.6498  0.8443  0.4186
Pt  0.7613  0.3444  0.1959
Pt  0.2616  0.8445  0.1953
Pt  0.4553  0.8443  0.8078

* crystal system: triclinic
* energy relative to the elements: -0.4072 eV per atom
* magnetic moment: 4.9 μB/cell
* final energy: -75.5 eV per cell
* calculated density: 15.857 Mg/m³

Entry 2:
## NdHoLuMg (PBE-GGA)

Data for crystalline NdHoLuMg at its relaxed geometry.

Cell: 5.5099 5.5099 5.5099 Å, 60.00 60.00 60.00°
Sites, in units of the cell vectors:
Mg  0.0000  0.0000  0.0000
Lu  0.5000  0.5000  0.5000
Nd  0.7500  0.7500  0.7500
Ho  0.2500  0.2500  0.2500

* crystal system: cubic
* energy relative to the elements: 0.0202 eV per atom
* magnetic moment: 0.0 μB/cell
* final energy: -15.4 eV per cell
* calculated density: 7.138 Mg/m³

Entry 3:
## CaLaH (PBE-GGA)

Data for crystalline CaLaH at its relaxed geometry.

Cell: 3.7300 3.7309 12.3835 Å, 98.54 90.00 119.99°
Sites, in units of the cell vectors:
H  0.7509  0.5017  0.7555
H  0.2491  0.4983  0.2445
Ca  0.8780  0.7560  0.1319
Ca  0.1220  0.2440  0.8681
La  0.3762  0.7525  0.6246
La  0.6238  0.2475  0.3754

* crystal system: monoclinic
* magnetic moment: 0.0 μB/cell
* final energy: -21.7 eV per cell
* calculated density: 4.065 Mg/m³